Y2CrBiO6 | PBE with a Hubbard U | optimized geometry

```
10
Lattice="5.393 0.000 0.000 0.000 5.393 0.000 0.000 0.000 5.357" Properties=species:S:1:pos:R:3 pbc="T T T"
Y 0.000 2.696 0.000
Y 2.696 0.000 0.000
Cr 0.000 0.000 3.386
Bi 2.696 2.696 3.039
O 0.000 0.000 1.425
O 1.293 1.293 4.120
O 1.293 4.100 4.120
O 2.696 2.696 0.780
O 4.100 1.293 4.120
O 4.100 4.100 4.120
```

Output
The calculation puts the electronic total energy at -7.60 eV/atom.